1.
! Pr3DyTh2P6 (PBE-GGA, relaxed); values from VASP
! Fermi-level density of states   4.0 states/eV/f.u.
! Energy of formation   -1.564 eV per atom
! Space group   C2/m, No. 12
! E_tot   -85.0 eV for the cell shown
! M_tot   0.00 μB per cell
&SYSTEM
  ibrav = 0, nat = 12, ntyp = 4
/
ATOMIC_SPECIES
Pr 140.91 Pr.upf
Dy 162.50 Dy.upf
Th 232.04 Th.upf
P 30.97 P.upf
CELL_PARAMETERS angstrom
9.0588 -2.0779 0.0000
9.0588 2.0779 0.0000
-1.9362 0.0000 8.0745
ATOMIC_POSITIONS angstrom
Pr 0.0000 0.0000 0.0000
Pr 4.7640 0.0000 5.3748
Pr 11.4173 0.0000 2.6997
Dy -0.9681 0.0000 4.0372
Th 5.7447 0.0000 1.3737
Th 10.4366 0.0000 6.7008
P 1.8297 0.0000 4.7307
P 2.8998 0.0000 0.6387
P 8.5369 0.0000 2.0788
P 7.6444 0.0000 5.9957
P 13.2815 0.0000 7.4358
P 14.3517 0.0000 3.3438

---

2.
! Li2SmMg2 (PBE-GGA, relaxed); values from VASP
! Fermi-level density of states   3.5 states/eV/f.u.
! Relative energy among the computed polymorphs   0.0 meV/atom
! Energy of formation   -0.038 eV per atom
! Space group   C2/m, No. 12
! E_tot   -11.9 eV for the cell shown
! M_tot   0.00 μB per cell
&SYSTEM
  ibrav = 0, nat = 5, ntyp = 3
/
ATOMIC_SPECIES
Li 6.94 Li.upf
Sm 150.36 Sm.upf
Mg 24.30 Mg.upf
CELL_PARAMETERS angstrom
9.8177 -1.7591 0.0000
9.8177 1.7591 0.0000
-0.6164 0.0000 3.4500
ATOMIC_POSITIONS angstrom
Li 3.9358 0.0000 0.7113
Li 15.0832 0.0000 2.7387
Sm 0.0000 0.0000 0.0000
Mg 7.2242 0.0000 1.3151
Mg 11.7947 0.0000 2.1349

---

3.
! EuBiPbAu (PBE-GGA, relaxed); values from VASP
! Fermi-level density of states   8.6 states/eV/f.u.
! Energy of formation   -0.428 eV per atom
! Space group   F-43m, No. 216
! E_tot   -22.9 eV for the cell shown
! M_tot   7.01 μB per cell
&SYSTEM
  ibrav = 0, nat = 4, ntyp = 4
/
ATOMIC_SPECIES
Eu 151.96 Eu.upf
Bi 208.98 Bi.upf
Pb 207.20 Pb.upf
Au 196.97 Au.upf
CELL_PARAMETERS angstrom
0.0000 3.8686 3.8686
3.8686 0.0000 3.8686
3.8686 3.8686 0.0000
ATOMIC_POSITIONS angstrom
Eu 0.0000 0.0000 0.0000
Bi 5.8029 5.8029 5.8029
Pb 3.8686 3.8686 3.8686
Au 1.9343 1.9343 1.9343